# CsCuSiTe3, optimized geometry, DFT PBE
# total DFT energy (no corrections): -3.539 eV per atom
data_CsCuSiTe3
_cell_length_a 9.7575
_cell_length_b 4.1229
_cell_length_c 10.7192
_cell_angle_alpha 90.00
_cell_angle_beta 116.17
_cell_angle_gamma 90.00
_space_group_name_H-M_alt 'P 1 21/m 1'
_space_group_IT_number 11
_space_group_name_Hall '-P 2yb'
loop_
_atom_site_label
_atom_site_fract_x
_atom_site_fract_y
_atom_site_fract_z
Cs1 0.2308 0.2500 0.2736
Cu1 0.0607 0.2500 0.5767
Si1 0.3343 0.7500 0.8587
Te1 0.1381 0.2500 0.8469
Te2 0.2321 0.7500 0.5777
Te3 0.4677 0.7500 0.1349

# Pr2NdNiPt8, optimized geometry, DFT PBE
# ΔE_f: -0.838 eV/atom
# total DFT energy (no corrections): -6.532 eV per atom
data_Pr2NdNiPt8
_cell_length_a 5.4727
_cell_length_b 5.4727
_cell_length_c 26.4167
_cell_angle_alpha 90.00
_cell_angle_beta 90.00
_cell_angle_gamma 120.00
_space_group_name_H-M_alt 'R -3 m'
_space_group_IT_number 166
_space_group_name_Hall '-R 3 2"'
loop_
_atom_site_label
_atom_site_fract_x
_atom_site_fract_y
_atom_site_fract_z
Pr1 0.0000 0.0000 0.1402
Nd1 0.0000 0.0000 0.0000
Ni1 0.0000 0.0000 0.5000
Pt1 0.0000 0.0000 0.3326
Pt2 0.0005 0.5003 0.9132

# UAlRe, optimized geometry, DFT PBE
# total DFT energy (no corrections): -8.054 eV per atom
data_UAlRe
_cell_length_a 6.3998
_cell_length_b 6.3998
_cell_length_c 6.3998
_cell_angle_alpha 90.00
_cell_angle_beta 90.00
_cell_angle_gamma 90.00
_space_group_name_H-M_alt 'F -4 3 m'
_space_group_IT_number 216
_space_group_name_Hall 'F -4 2 3'
loop_
_atom_site_label
_atom_site_fract_x
_atom_site_fract_y
_atom_site_fract_z
U1 0.0000 0.0000 0.0000
Al1 0.2500 0.2500 0.7500
Re1 0.2500 0.2500 0.2500

# SmAlPd, optimized geometry, DFT PBE
# total DFT energy (no corrections): -5.221 eV per atom
data_SmAlPd
_cell_length_a 4.8580
_cell_length_b 4.2423
_cell_length_c 12.1403
_cell_angle_alpha 90.00
_cell_angle_beta 90.00
_cell_angle_gamma 90.00
_space_group_name_H-M_alt 'P n m a'
_space_group_IT_number 62
_space_group_name_Hall '-P 2ac 2n'
loop_
_atom_site_label
_atom_site_fract_x
_atom_site_fract_y
_atom_site_fract_z
Sm1 0.2397 0.2500 0.1607
Al1 0.2406 0.7500 0.3738
Pd1 0.2393 0.2500 0.4831

# Pd7Pb, optimized geometry, DFT PBE
# total DFT energy (no corrections): -5.000 eV per atom
data_Pd7Pb
_cell_length_a 2.8830
_cell_length_b 3.8130
_cell_length_c 30.5869
_cell_angle_alpha 90.00
_cell_angle_beta 90.00
_cell_angle_gamma 90.00
_space_group_name_H-M_alt 'P m m n'
_space_group_IT_number 59
loop_
_space_group_symop_operation_xyz
'x,y,z'
'-x,-y,-z'
'-x+1/2,-y+1/2,z'
'x+1/2,y+1/2,-z'
'x+1/2,-y,-z'
'-x+1/2,y,z'
'-x,y+1/2,-z'
'x,-y+1/2,z'
loop_
_atom_site_label
_atom_site_fract_x
_atom_site_fract_y
_atom_site_fract_z
Pd1 0.2500 0.2500 0.0227
Pd2 0.2500 0.2500 0.1139
Pd3 0.2500 0.2500 0.2054
Pd4 0.2500 0.2500 0.2987
Pd5 0.2500 0.2500 0.7481
Pd6 0.2500 0.2500 0.8403
Pd7 0.2500 0.2500 0.9318
Pb1 0.2500 0.2500 0.6485

# BeCoReB, optimized geometry, DFT PBE
# total DFT energy (no corrections): -6.902 eV per atom
data_BeCoReB
_cell_length_a 5.4641
_cell_length_b 5.4641
_cell_length_c 5.4641
_cell_angle_alpha 90.00
_cell_angle_beta 90.00
_cell_angle_gamma 90.00
_space_group_name_H-M_alt 'F -4 3 m'
_space_group_IT_number 216
_space_group_name_Hall 'F -4 2 3'
loop_
_atom_site_label
_atom_site_fract_x
_atom_site_fract_y
_atom_site_fract_z
Be1 0.0000 0.0000 0.0000
Co1 0.0000 0.0000 0.5000
Re1 0.2500 0.2500 0.7500
B1 0.2500 0.2500 0.2500

# RbPrGaSe3, optimized geometry, DFT PBE
# total DFT energy (no corrections): -4.452 eV per atom
data_RbPrGaSe3
_cell_length_a 4.6556
_cell_length_b 14.9185
_cell_length_c 11.4291
_cell_angle_alpha 90.00
_cell_angle_beta 90.00
_cell_angle_gamma 90.00
_space_group_name_H-M_alt 'C m c m'
_space_group_IT_number 63
_space_group_name_Hall '-C 2c 2'
loop_
_atom_site_label
_atom_site_fract_x
_atom_site_fract_y
_atom_site_fract_z
Rb1 0.0000 0.2486 0.2500
Pr1 0.0000 0.5000 0.0000
Ga1 0.0000 0.0154 0.7500
Se1 0.0000 0.1203 0.5729
Se2 0.0000 0.4378 0.7500

# Y4TlCdC2, optimized geometry, DFT PBE
# total DFT energy (no corrections): -6.288 eV per atom
data_Y4TlCdC2
_cell_length_a 3.6210
_cell_length_b 3.6210
_cell_length_c 16.2429
_cell_angle_alpha 90.00
_cell_angle_beta 90.00
_cell_angle_gamma 120.00
_space_group_name_H-M_alt 'P -6 m 2'
_space_group_IT_number 187
_space_group_name_Hall 'P -6 2'
loop_
_atom_site_label
_atom_site_fract_x
_atom_site_fract_y
_atom_site_fract_z
Y1 0.0000 0.0000 0.1668
Y2 0.3333 0.6667 0.3334
Tl1 0.0000 0.0000 0.5000
Cd1 0.3333 0.6667 0.0000
C1 0.6667 0.3333 0.2480

# SmAlGaAg2, optimized geometry, DFT PBE
# total DFT energy (no corrections): -3.793 eV per atom
data_SmAlGaAg2
_cell_length_a 4.3151
_cell_length_b 4.3151
_cell_length_c 11.0384
_cell_angle_alpha 90.00
_cell_angle_beta 90.00
_cell_angle_gamma 90.00
_space_group_name_H-M_alt 'P 4/n m m'
_space_group_IT_number 129
loop_
_space_group_symop_operation_xyz
'x,y,z'
'-x,-y,-z'
'-y+1/2,x,z'
'y+1/2,-x,-z'
'-x+1/2,-y+1/2,z'
'x+1/2,y+1/2,-z'
'y,-x+1/2,z'
'-y,x+1/2,-z'
'x+1/2,-y,-z'
'-x+1/2,y,z'
'-y,-x,-z'
'y,x,z'
'-x,y+1/2,-z'
'x,-y+1/2,z'
'y+1/2,x+1/2,-z'
'-y+1/2,-x+1/2,z'
loop_
_atom_site_label
_atom_site_fract_x
_atom_site_fract_y
_atom_site_fract_z
Sm1 0.2500 0.2500 0.2476
Al1 0.2500 0.7500 0.5000
Ga1 0.2500 0.2500 0.8604
Ag1 0.2500 0.2500 0.6334
Ag2 0.2500 0.7500 0.0000

# Zn2NiBi, optimized geometry, DFT PBE
# total DFT energy (no corrections): -2.773 eV per atom
data_Zn2NiBi
_cell_length_a 6.5804
_cell_length_b 6.5804
_cell_length_c 6.5804
_cell_angle_alpha 90.00
_cell_angle_beta 90.00
_cell_angle_gamma 90.00
_space_group_name_H-M_alt 'F -4 3 m'
_space_group_IT_number 216
_space_group_name_Hall 'F -4 2 3'
loop_
_atom_site_label
_atom_site_fract_x
_atom_site_fract_y
_atom_site_fract_z
Zn1 0.0000 0.0000 0.0000
Zn2 0.2500 0.2500 0.2500
Ni1 0.0000 0.0000 0.5000
Bi1 0.2500 0.2500 0.7500

# ErNpAs, optimized geometry, DFT PBE
# total DFT energy (no corrections): -7.614 eV per atom
data_ErNpAs
_cell_length_a 6.8065
_cell_length_b 6.8065
_cell_length_c 6.8065
_cell_angle_alpha 90.00
_cell_angle_beta 90.00
_cell_angle_gamma 90.00
_space_group_name_H-M_alt 'F -4 3 m'
_space_group_IT_number 216
_space_group_name_Hall 'F -4 2 3'
loop_
_atom_site_label
_atom_site_fract_x
_atom_site_fract_y
_atom_site_fract_z
Er1 0.0000 0.0000 0.0000
Np1 0.0000 0.0000 0.5000
As1 0.2500 0.2500 0.2500

# Ge2PdS, optimized geometry, DFT PBE
# total DFT energy (no corrections): -4.758 eV per atom
data_Ge2PdS
_cell_length_a 3.2600
_cell_length_b 6.4790
_cell_length_c 7.1554
_cell_angle_alpha 90.00
_cell_angle_beta 90.00
_cell_angle_gamma 90.00
_space_group_name_H-M_alt 'P m n 21'
_space_group_IT_number 31
_space_group_name_Hall 'P 2ac -2'
loop_
_atom_site_label
_atom_site_fract_x
_atom_site_fract_y
_atom_site_fract_z
Ge1 0.0000 0.0298 0.0000
Ge2 0.0000 0.5341 0.6023
Pd1 0.0000 0.2561 0.3113
S1 0.0000 0.7657 0.3395